# 1
Crystalline Sm4AgSn8 at its relaxed geometry. Source: Alexandria via LeMat-Bulk, functional PBE.

Results
density of states at the Fermi level	5.33	states/eV per cell
calculated formation energy	-0.554	eV per atom
SG	No. 25

The structure in CIF format:
```
data_Sm4AgSn8
_chemical_formula_sum 'Sm4 Ag1 Sn8'
_symmetry_space_group_name_H-M 'P 1'
_symmetry_Int_Tables_number 1
_cell_length_a 4.4120
_cell_length_b 4.4794
_cell_length_c 17.7593
_cell_angle_alpha 90.00
_cell_angle_beta 90.00
_cell_angle_gamma 90.00
loop_
_symmetry_equiv_pos_as_xyz
'x,y,z'
loop_
_atom_site_label
_atom_site_fract_x
_atom_site_fract_y
_atom_site_fract_z
Sm1 0.0000 0.0000 0.0000
Sm2 0.0000 0.5000 0.4737
Sm3 0.5000 0.0000 0.7888
Sm4 0.5000 0.5000 0.2822
Ag1 0.0000 0.5000 0.7136
Sn1 0.0000 0.0000 0.3170
Sn2 0.0000 0.0000 0.6154
Sn3 0.0000 0.5000 0.1395
Sn4 0.0000 0.5000 0.8623
Sn5 0.5000 0.0000 0.1443
Sn6 0.5000 0.0000 0.4312
Sn7 0.5000 0.5000 0.6134
Sn8 0.5000 0.5000 0.9723
```

***

# 2
Crystalline SmAg3Sn3 at its relaxed geometry. Source: Alexandria via LeMat-Bulk, functional PBE.

Results
density of states at the Fermi level	11.49	states/eV per cell
calculated formation energy	-0.177	eV per atom
SG	No. 176

The structure in CIF format:
```
data_SmAg3Sn3
_chemical_formula_sum 'Sm2 Ag6 Sn6'
_symmetry_space_group_name_H-M 'P 1'
_symmetry_Int_Tables_number 1
_cell_length_a 9.0716
_cell_length_b 9.0716
_cell_length_c 4.6371
_cell_angle_alpha 90.00
_cell_angle_beta 90.00
_cell_angle_gamma 120.00
loop_
_symmetry_equiv_pos_as_xyz
'x,y,z'
loop_
_atom_site_label
_atom_site_fract_x
_atom_site_fract_y
_atom_site_fract_z
Sm1 0.3333 0.6667 0.2500
Sm2 0.6667 0.3333 0.7500
Ag1 0.0667 0.8453 0.2500
Ag2 0.1547 0.2214 0.2500
Ag3 0.2214 0.0667 0.7500
Ag4 0.7786 0.9333 0.2500
Ag5 0.8453 0.7786 0.7500
Ag6 0.9333 0.1547 0.7500
Sn1 0.0726 0.6364 0.7500
Sn2 0.3636 0.4362 0.7500
Sn3 0.4362 0.0726 0.2500
Sn4 0.5638 0.9274 0.7500
Sn5 0.6364 0.5638 0.2500
Sn6 0.9274 0.3636 0.2500
```

***

# 3
Crystalline SmAg12Sn6 at its relaxed geometry. Source: Alexandria via LeMat-Bulk, functional PBE.

Results
density of states at the Fermi level	8.25	states/eV per cell
calculated formation energy	0.076	eV per atom
SG	No. 166

The structure in CIF format:
```
data_SmAg12Sn6
_chemical_formula_sum 'Sm1 Ag12 Sn6'
_symmetry_space_group_name_H-M 'P 1'
_symmetry_Int_Tables_number 1
_cell_length_a 7.8802
_cell_length_b 7.8802
_cell_length_c 7.8802
_cell_angle_alpha 104.34
_cell_angle_beta 104.34
_cell_angle_gamma 104.34
loop_
_symmetry_equiv_pos_as_xyz
'x,y,z'
loop_
_atom_site_label
_atom_site_fract_x
_atom_site_fract_y
_atom_site_fract_z
Sm1 0.0000 0.0000 0.0000
Ag1 0.1103 0.5000 0.8897
Ag2 0.1103 0.8897 0.5000
Ag3 0.1113 0.3484 0.3484
Ag4 0.3484 0.1113 0.3484
Ag5 0.3484 0.3484 0.1113
Ag6 0.5000 0.1103 0.8897
Ag7 0.5000 0.8897 0.1103
Ag8 0.6516 0.6516 0.8887
Ag9 0.6516 0.8887 0.6516
Ag10 0.8887 0.6516 0.6516
Ag11 0.8897 0.1103 0.5000
Ag12 0.8897 0.5000 0.1103
Sn1 0.2931 0.2931 0.6970
Sn2 0.2931 0.6970 0.2931
Sn3 0.3030 0.7069 0.7069
Sn4 0.6970 0.2931 0.2931
Sn5 0.7069 0.3030 0.7069
Sn6 0.7069 0.7069 0.3030
```

***

# 4
Crystalline SmAgSn at its relaxed geometry. Source: Alexandria via LeMat-Bulk, functional PBE.

Results
density of states at the Fermi level	2.55	states/eV per cell
calculated formation energy	0.313	eV per atom
SG	No. 107

The structure in CIF format:
```
data_SmAgSn
_chemical_formula_sum 'Sm1 Ag1 Sn1'
_symmetry_space_group_name_H-M 'P 1'
_symmetry_Int_Tables_number 1
_cell_length_a 8.5795
_cell_length_b 8.5795
_cell_length_c 8.5795
_cell_angle_alpha 158.55
_cell_angle_beta 158.55
_cell_angle_gamma 30.51
loop_
_symmetry_equiv_pos_as_xyz
'x,y,z'
loop_
_atom_site_label
_atom_site_fract_x
_atom_site_fract_y
_atom_site_fract_z
Sm1 0.0000 0.0000 0.0000
Ag1 0.1836 0.1836 0.0000
Sn1 0.8068 0.8068 0.0000
```

***

# 5
Crystalline SmAg8Sn3 at its relaxed geometry. Source: Alexandria via LeMat-Bulk, functional PBE.

Results
density of states at the Fermi level	3.64	states/eV per cell
calculated formation energy	-0.072	eV per atom
SG	No. 156

The structure in CIF format:
```
data_SmAg8Sn3
_chemical_formula_sum 'Sm1 Ag8 Sn3'
_symmetry_space_group_name_H-M 'P 1'
_symmetry_Int_Tables_number 1
_cell_length_a 5.6961
_cell_length_b 5.6961
_cell_length_c 9.0774
_cell_angle_alpha 90.00
_cell_angle_beta 90.00
_cell_angle_gamma 120.00
loop_
_symmetry_equiv_pos_as_xyz
'x,y,z'
loop_
_atom_site_label
_atom_site_fract_x
_atom_site_fract_y
_atom_site_fract_z
Sm1 0.0000 0.0000 0.0000
Ag1 0.1633 0.3266 0.6785
Ag2 0.1633 0.8367 0.6785
Ag3 0.3333 0.6667 0.4319
Ag4 0.3333 0.6667 0.9304
Ag5 0.5027 0.0055 0.1825
Ag6 0.5027 0.4973 0.1825
Ag7 0.6734 0.8367 0.6785
Ag8 0.9945 0.4973 0.1825
Sn1 0.0000 0.0000 0.3784
Sn2 0.6667 0.3333 0.4776
Sn3 0.6667 0.3333 0.8634
```

***

# 6
Crystalline Sm4AgSn at its relaxed geometry. Source: Alexandria via LeMat-Bulk, functional PBE.

Results
density of states at the Fermi level	13.60	states/eV per cell
calculated formation energy	-0.194	eV per atom
SG	No. 63

The structure in CIF format:
```
data_Sm4AgSn
_chemical_formula_sum 'Sm8 Ag2 Sn2'
_symmetry_space_group_name_H-M 'P 1'
_symmetry_Int_Tables_number 1
_cell_length_a 10.9806
_cell_length_b 10.9806
_cell_length_c 6.5131
_cell_angle_alpha 90.00
_cell_angle_beta 90.00
_cell_angle_gamma 150.70
loop_
_symmetry_equiv_pos_as_xyz
'x,y,z'
loop_
_atom_site_label
_atom_site_fract_x
_atom_site_fract_y
_atom_site_fract_z
Sm1 0.0584 0.9416 0.7500
Sm2 0.2076 0.7924 0.5070
Sm3 0.2076 0.7924 0.9930
Sm4 0.3797 0.6203 0.7500
Sm5 0.6203 0.3797 0.2500
Sm6 0.7924 0.2076 0.0070
Sm7 0.7924 0.2076 0.4930
Sm8 0.9416 0.0584 0.2500
Ag1 0.0798 0.9202 0.2500
Ag2 0.9202 0.0798 0.7500
Sn1 0.3480 0.6520 0.2500
Sn2 0.6520 0.3480 0.7500
```

***

# 7
Crystalline SmAg2Sn at its relaxed geometry. Source: Alexandria via LeMat-Bulk, functional PBE.

Results
density of states at the Fermi level	1.76	states/eV per cell
calculated formation energy	-0.379	eV per atom
SG	No. 12

The structure in CIF format:
```
data_SmAg2Sn
_chemical_formula_sum 'Sm1 Ag2 Sn1'
_symmetry_space_group_name_H-M 'P 1'
_symmetry_Int_Tables_number 1
_cell_length_a 5.0184
_cell_length_b 5.0184
_cell_length_c 5.0101
_cell_angle_alpha 119.66
_cell_angle_beta 119.66
_cell_angle_gamma 90.43
loop_
_symmetry_equiv_pos_as_xyz
'x,y,z'
loop_
_atom_site_label
_atom_site_fract_x
_atom_site_fract_y
_atom_site_fract_z
Sm1 0.0000 0.0000 0.0000
Ag1 0.2500 0.7500 0.5000
Ag2 0.7500 0.2500 0.5000
Sn1 0.5000 0.5000 0.0000
```

***

# 8
Crystalline Sm12AgSn6 at its relaxed geometry. Source: Alexandria via LeMat-Bulk, functional PBE.

Results
density of states at the Fermi level	24.16	states/eV per cell
calculated formation energy	-0.325	eV per atom
SG	No. 148

The structure in CIF format:
```
data_Sm12AgSn6
_chemical_formula_sum 'Sm12 Ag1 Sn6'
_symmetry_space_group_name_H-M 'P 1'
_symmetry_Int_Tables_number 1
_cell_length_a 8.9034
_cell_length_b 8.9034
_cell_length_c 8.9034
_cell_angle_alpha 100.08
_cell_angle_beta 100.08
_cell_angle_gamma 100.08
loop_
_symmetry_equiv_pos_as_xyz
'x,y,z'
loop_
_atom_site_label
_atom_site_fract_x
_atom_site_fract_y
_atom_site_fract_z
Sm1 0.0372 0.6760 0.9456
Sm2 0.0544 0.9628 0.3240
Sm3 0.1918 0.4219 0.5614
Sm4 0.3240 0.0544 0.9628
Sm5 0.4219 0.5614 0.1918
Sm6 0.4386 0.8082 0.5781
Sm7 0.5614 0.1918 0.4219
Sm8 0.5781 0.4386 0.8082
Sm9 0.6760 0.9456 0.0372
Sm10 0.8082 0.5781 0.4386
Sm11 0.9456 0.0372 0.6760
Sm12 0.9628 0.3240 0.0544
Ag1 0.0000 0.0000 0.0000
Sn1 0.1248 0.6278 0.3122
Sn2 0.3122 0.1248 0.6278
Sn3 0.3722 0.6878 0.8752
Sn4 0.6278 0.3122 0.1248
Sn5 0.6878 0.8752 0.3722
Sn6 0.8752 0.3722 0.6878
```

***

# 9
Crystalline SmAgSn2 at its relaxed geometry. Source: Alexandria via LeMat-Bulk, functional PBE.

Results
density of states at the Fermi level	1.51	states/eV per cell
calculated formation energy	-0.341	eV per atom
SG	No. 166

The structure in CIF format:
```
data_SmAgSn2
_chemical_formula_sum 'Sm1 Ag1 Sn2'
_symmetry_space_group_name_H-M 'P 1'
_symmetry_Int_Tables_number 1
_cell_length_a 6.0308
_cell_length_b 6.0308
_cell_length_c 6.0308
_cell_angle_alpha 45.59
_cell_angle_beta 45.59
_cell_angle_gamma 45.59
loop_
_symmetry_equiv_pos_as_xyz
'x,y,z'
loop_
_atom_site_label
_atom_site_fract_x
_atom_site_fract_y
_atom_site_fract_z
Sm1 0.0000 0.0000 0.0000
Ag1 0.5000 0.5000 0.5000
Sn1 0.2291 0.2291 0.2291
Sn2 0.7709 0.7709 0.7709
```

***

# 10
Crystalline SmAgSn at its relaxed geometry. Source: Alexandria via LeMat-Bulk, functional PBE.

Results
density of states at the Fermi level	13.11	states/eV per cell
calculated formation energy	-0.569	eV per atom
SG	No. 44

The structure in CIF format:
```
data_SmAgSn
_chemical_formula_sum 'Sm6 Ag6 Sn6'
_symmetry_space_group_name_H-M 'P 1'
_symmetry_Int_Tables_number 1
_cell_length_a 12.1433
_cell_length_b 12.1433
_cell_length_c 12.1433
_cell_angle_alpha 157.19
_cell_angle_beta 46.64
_cell_angle_gamma 139.89
loop_
_symmetry_equiv_pos_as_xyz
'x,y,z'
loop_
_atom_site_label
_atom_site_fract_x
_atom_site_fract_y
_atom_site_fract_z
Sm1 0.0000 0.0000 0.0000
Sm2 0.2237 0.0575 0.1662
Sm3 0.3398 0.0075 0.3323
Sm4 0.5597 0.0597 0.5000
Sm5 0.6752 0.0075 0.6677
Sm6 0.8912 0.0575 0.8338
Ag1 0.0946 0.3634 0.7312
Ag2 0.1320 0.7013 0.4307
Ag3 0.2706 0.7013 0.5693
Ag4 0.5979 0.6999 0.8980
Ag5 0.6322 0.3634 0.2688
Ag6 0.8020 0.6999 0.1020
Sn1 0.2948 0.3707 0.9241
Sn2 0.4466 0.3707 0.0759
Sn3 0.4505 0.6940 0.7565
Sn4 0.7786 0.3703 0.4083
Sn5 0.9375 0.6940 0.2435
Sn6 0.9620 0.3703 0.5917
```

***

# 11
Crystalline Sm3Ag2Sn at its relaxed geometry. Source: Alexandria via LeMat-Bulk, functional PBE.

Results
density of states at the Fermi level	6.50	states/eV per cell
calculated formation energy	-0.414	eV per atom
SG	No. 65

The structure in CIF format:
```
data_Sm3Ag2Sn
_chemical_formula_sum 'Sm3 Ag2 Sn1'
_symmetry_space_group_name_H-M 'P 1'
_symmetry_Int_Tables_number 1
_cell_length_a 8.4742
_cell_length_b 8.4742
_cell_length_c 3.7448
_cell_angle_alpha 90.00
_cell_angle_beta 90.00
_cell_angle_gamma 143.62
loop_
_symmetry_equiv_pos_as_xyz
'x,y,z'
loop_
_atom_site_label
_atom_site_fract_x
_atom_site_fract_y
_atom_site_fract_z
Sm1 0.0000 0.0000 0.0000
Sm2 0.3313 0.6687 0.0000
Sm3 0.6687 0.3313 0.0000
Ag1 0.1715 0.8285 0.5000
Ag2 0.8285 0.1715 0.5000
Sn1 0.5000 0.5000 0.5000
```

***

no.,electronic total energy (eV/atom)
1,-4.69
2,-3.79
3,-3.24
4,-3.54
5,-3.37
6,-4.48
7,-3.99
8,-4.72
9,-4.23
10,-4.43
11,-4.39